ZrCrAs2 | PBEsol | relaxed

Structure (CIF):
```
data_ZrCrAs2
_cell_length_a 3.1495
_cell_length_b 3.1495
_cell_length_c 24.0768
_cell_angle_alpha 90.00
_cell_angle_beta 90.00
_cell_angle_gamma 120.00
_space_group_name_H-M_alt 'R 3 m'
_space_group_IT_number 160
_space_group_name_Hall 'R 3 -2"'
loop_
_atom_site_label
_atom_site_type_symbol
_atom_site_fract_x
_atom_site_fract_y
_atom_site_fract_z
Zr1 Zr 0.0000 0.0000 0.0000
Cr1 Cr 0.0000 0.0000 0.2500
As1 As 0.0000 0.0000 0.5188
As2 As 0.0000 0.0000 0.7556
```

As for the formation energy: 0.0141 eV per atom. Its mass density is 7.06 g/cm3. The excess energy over the best structure of this formula in the dataset is 517 meV/atom.